K3CoTc | the Alexandria database | GGA-PBE | relaxed; energy relative to the elements = 1796.5 meV/atom; space group = No. 221
1.0
6.350 0.000 0.000
0.000 6.350 0.000
0.000 0.000 6.350
K Co Tc
3 1 1
Direct
0.000 0.000 0.500
0.000 0.500 0.000
0.500 0.000 0.000
0.500 0.500 0.500
0.000 0.000 0.000